Arrangement w

Ca3CuPd after structural relaxation, computed with PBE.

Unit cell a=5.494 b=5.494 c=5.494 alpha=90.00 beta=90.00 gamma=90.00
Space group Pm-3m (No. 221)
One atom of each set of equivalent atoms:
Ca 0.000 0.000 0.500 [3 per cell]
Cu 0.500 0.500 0.500 [1 per cell]
Pd 0.000 0.000 0.000 [1 per cell]

crystal system	cubic
total magnetization	0.0000	μB/atom

***

Arrangement x

Ca3CuPd after structural relaxation, computed with PBE.

Unit cell a=7.990 b=4.183 c=8.438 alpha=90.00 beta=110.24 gamma=90.00
Space group P2_1/m (No. 11)
One atom of each set of equivalent atoms:
Ca 0.094 0.250 0.230 [2 per cell]
Ca 0.314 0.250 0.931 [2 per cell]
Ca 0.365 0.750 0.594 [2 per cell]
Cu 0.050 0.250 0.574 [2 per cell]
Pd 0.364 0.750 0.200 [2 per cell]

crystal system	monoclinic
total magnetization	0.0000	μB/atom

***

Which structure is the least stable? The one labeled arrangement w.

***

Arrangement w

CaCu2Pd2 after structural relaxation, computed with PBE.

Unit cell a=7.405 b=7.405 c=3.014 alpha=90.00 beta=90.00 gamma=90.00
Space group P4/mbm (No. 127)
One atom of each set of equivalent atoms:
Ca 0.000 0.000 0.000 [2 per cell]
Cu 0.158 0.342 0.500 [4 per cell]
Pd 0.136 0.636 0.000 [4 per cell]

crystal system	tetragonal
total magnetization	0.0000	μB/atom

***

Arrangement x

CaCu2Pd2 after structural relaxation, computed with PBE.

Unit cell a=4.176 b=4.176 c=10.281 alpha=90.00 beta=90.00 gamma=90.00
Space group I4/mmm (No. 139)
One atom of each set of equivalent atoms:
Ca 0.000 0.000 0.000 [2 per cell]
Cu 0.000 0.000 0.388 [4 per cell]
Pd 0.000 0.500 0.250 [4 per cell]

crystal system	tetragonal
total magnetization	0.0000	μB/atom

***

Arrangement y

CaCu2Pd2 after structural relaxation, computed with PBE.

Unit cell a=7.385 b=7.385 c=3.006 alpha=90.00 beta=90.00 gamma=90.00
Space group P4/mbm (No. 127)
One atom of each set of equivalent atoms:
Ca 0.000 0.000 0.000 [2 per cell]
Cu 0.120 0.380 0.000 [4 per cell]
Pd 0.173 0.673 0.500 [4 per cell]

crystal system	tetragonal
total magnetization	0.0000	μB/atom

***

Which structure is the least stable? The one labeled arrangement w.

***

Arrangement w

CaPmCuPd after structural relaxation, computed with PBE.

Unit cell a=7.128 b=7.128 c=7.128 alpha=90.00 beta=90.00 gamma=90.00
Space group F-43m (No. 216)
One atom of each set of equivalent atoms:
Ca 0.000 0.000 0.000 [4 per cell]
Pm 0.000 0.000 0.500 [4 per cell]
Cu 0.250 0.250 0.250 [4 per cell]
Pd 0.250 0.250 0.750 [4 per cell]

crystal system	cubic
total magnetization	0.0000	μB/atom

***

Arrangement x

CaPmCuPd after structural relaxation, computed with PBE.

Unit cell a=4.393 b=3.982 c=10.923 alpha=90.00 beta=90.00 gamma=90.00
Space group Amm2 (No. 38)
One atom of each set of equivalent atoms:
Ca 0.000 0.000 0.000 [2 per cell]
Pm 0.500 0.000 0.722 [2 per cell]
Cu 0.500 0.000 0.430 [2 per cell]
Pd 0.000 0.000 0.283 [2 per cell]

crystal system	orthorhombic
total magnetization	0.0000	μB/atom

***

Which structure is the least stable? The one labeled arrangement w.

***

Arrangement w

SrCaCuPd after structural relaxation, computed with PBE.

Unit cell a=7.336 b=7.336 c=7.336 alpha=90.00 beta=90.00 gamma=90.00
Space group F-43m (No. 216)
One atom of each set of equivalent atoms:
Sr 0.000 0.000 0.000 [4 per cell]
Ca 0.000 0.000 0.500 [4 per cell]
Cu 0.250 0.250 0.750 [4 per cell]
Pd 0.250 0.250 0.250 [4 per cell]

crystal system	cubic
total magnetization	0.0000	μB/atom

***

Arrangement x

SrCaCuPd after structural relaxation, computed with PBE.

Unit cell a=4.465 b=4.138 c=11.271 alpha=90.00 beta=90.00 gamma=90.00
Space group Amm2 (No. 38)
One atom of each set of equivalent atoms:
Sr 0.000 0.000 0.000 [2 per cell]
Ca 0.500 0.000 0.720 [2 per cell]
Cu 0.500 0.000 0.415 [2 per cell]
Pd 0.000 0.000 0.287 [2 per cell]

crystal system	orthorhombic
total magnetization	0.0000	μB/atom

***

Which structure is the least stable? The one labeled arrangement w.

***

Arrangement w

CaTbCuPd after structural relaxation, computed with PBE.

Unit cell a=7.036 b=7.036 c=7.036 alpha=90.00 beta=90.00 gamma=90.00
Space group F-43m (No. 216)
One atom of each set of equivalent atoms:
Ca 0.000 0.000 0.000 [4 per cell]
Tb 0.000 0.000 0.500 [4 per cell]
Cu 0.250 0.250 0.750 [4 per cell]
Pd 0.250 0.250 0.250 [4 per cell]

crystal system	cubic
total magnetization	0.0000	μB/atom

***

Arrangement x

CaTbCuPd after structural relaxation, computed with PBE.

Unit cell a=4.354 b=3.893 c=10.888 alpha=90.00 beta=90.00 gamma=90.00
Space group Amm2 (No. 38)
One atom of each set of equivalent atoms:
Ca 0.000 0.000 0.000 [2 per cell]
Tb 0.500 0.000 0.722 [2 per cell]
Cu 0.500 0.000 0.428 [2 per cell]
Pd 0.000 0.000 0.280 [2 per cell]

crystal system	orthorhombic
total magnetization	0.0000	μB/atom

***

Which structure is the least stable? The one labeled arrangement w.

***

Arrangement w

CaPmCu4 after structural relaxation, computed with PBE.

Unit cell a=4.219 b=7.406 c=7.567 alpha=90.00 beta=90.00 gamma=90.00
Space group Immm (No. 71)
One atom of each set of equivalent atoms:
Ca 0.000 0.000 0.000 [2 per cell]
Pm 0.000 0.000 0.500 [2 per cell]
Cu 0.000 0.334 0.244 [8 per cell]

crystal system	orthorhombic
total magnetization	0.0000	μB/atom

***

Arrangement x

CaPmCu4 after structural relaxation, computed with PBE.

Unit cell a=7.530 b=7.530 c=7.530 alpha=90.00 beta=90.00 gamma=90.00
Space group F-43m (No. 216)
One atom of each set of equivalent atoms:
Ca 0.000 0.000 0.000 [4 per cell]
Pm 0.250 0.250 0.750 [4 per cell]
Cu 0.126 0.126 0.374 [16 per cell]

crystal system	cubic
total magnetization	0.0000	μB/atom

***

Which structure is the least stable? The one labeled arrangement x.